A relaxed structure of CaAgRh2, computed with GGA-PBE.

density: 8.2 g/cm3
DOS at the Fermi energy: 4.24 states/eV/cell
space group: No. 160
M_tot: 1.25 μB per formula unit
calculated formation energy: 0.327 eV per atom

a = 9.4542 Å, b = 9.4542 Å, c = 9.4542 Å
α = 18.19°, β = 18.19°, γ = 18.19°
Last column: nearest neighbours and their distance in Å.
Fractional positions:
Ca 0.7441 0.7441 0.7441  3 Rh 2.86, 6 Ca 2.99, 3 Ag 3.16
Rh 0.9956 0.9956 0.9956  9 Rh 2.70-2.99, 3 Ca 2.86
Rh 0.2546 0.2546 0.2546  9 Rh 2.70-2.99, 3 Ag 2.87
Ag 0.5057 0.5057 0.5057  3 Rh 2.87, 6 Ag 2.99, 3 Ca 3.16